{"formula": "TmPuCdHg", "functional": "PBE", "state": "optimized geometry", "cell": [[5.283, 0.000, 0.000], [2.641, 4.575, 0.000], [2.641, 1.525, 4.314]], "species": ["Cd", "Tm", "Hg", "Pu"], "fractional_positions": [[0.750, 0.750, 0.750], [0.000, 0.000, 0.000], [0.250, 0.250, 0.250], [0.500, 0.500, 0.500]], "sg": "F-43m (216)", "formation_enthalpy_0k_ev_per_atom": -0.174, "final_energy_ev_per_atom": -5.1786}

=====

{"formula": "Be3Re4", "functional": "PBE", "state": "optimized geometry", "cell": [[-1.496, 1.496, 9.805], [1.496, -1.496, 9.805], [1.496, 1.496, -9.805]], "species": ["Be", "Be", "Be", "Re", "Re", "Re", "Re"], "fractional_positions": [[0.000, 0.000, 0.000], [0.723, 0.723, 0.000], [0.277, 0.277, 0.000], [0.853, 0.853, 0.000], [0.147, 0.147, 0.000], [0.572, 0.572, 0.000], [0.428, 0.428, 0.000]], "sg": "I4/mmm (139)", "formation_enthalpy_0k_ev_per_atom": -0.025, "final_energy_ev_per_atom": -8.7347, "de_polymorph_kj_per_mol_atoms": 14.4}

=====

{"formula": "SnAsPb2Cl", "functional": "PBE", "state": "optimized geometry", "cell": [[5.781, 0.000, 0.000], [0.000, 5.413, 0.000], [0.000, 0.000, 5.781]], "species": ["Pb", "Pb", "As", "Sn", "Cl"], "fractional_positions": [[0.000, 0.000, 0.500], [0.500, 0.000, 0.000], [0.000, 0.000, 0.000], [0.000, 0.500, 0.000], [0.500, 0.500, 0.500]], "sg": "P4/mmm (123)", "e_form_raw_ev_per_atom": 0.2139, "final_energy_ev_per_atom": -3.3692}

=====

{"formula": "TiInPS2", "functional": "PBE", "state": "optimized geometry", "cell": [[-2.442, -1.033, 3.887], [-1.400, -4.045, -1.954], [3.938, -2.267, 1.872]], "species": ["P", "S", "S", "Ti", "In"], "fractional_positions": [[0.000, 0.000, 0.500], [0.000, 0.500, 0.000], [0.500, 0.000, 0.000], [0.000, 0.000, 0.000], [0.500, 0.500, 0.500]], "sg": "P4/mmm (123)", "e_form_raw_ev_per_atom": -0.3361, "final_energy_ev_per_atom": -5.1957, "de_polymorph_kj_per_mol_atoms": 0.0}